Tl5W2F12 | PBE+U | relaxed

Values from the calculation:
For the total magnetization, the calculation gives 4.07 μB/f.u. The raw total energy is -4.70 eV/atom. As for the density: 7.25 g/cm³. As for the density of states at the Fermi level: 3.33 states/eV/f.u.

POSCAR file:
```
Tl5W2F12
1.0
7.071 -3.740 0.000
7.071 3.740 0.000
-3.697 0.000 7.009
Tl W F
5 2 12
Cartesian
0.000 0.000 0.000
3.616 0.000 0.099
1.762 0.000 3.897
8.684 0.000 3.112
6.830 0.000 6.911
5.223 1.868 3.505
5.223 -1.868 3.505
-1.672 0.000 4.642
3.602 1.710 2.182
3.537 2.037 4.708
6.908 2.037 2.302
6.843 1.710 4.828
5.455 0.000 2.374
4.990 0.000 4.636
3.602 -1.710 2.182
3.537 -2.037 4.708
6.908 -2.037 2.302
6.843 -1.710 4.828
12.117 0.000 2.368
```